Arrangement P

A geometry-optimized MnCd3O structure, computed with PBE with a Hubbard U.

Results
* total magnetic moment: 4.7 Bohr magnetons per cell
* crystal system: cubic

Unit cell a=5.3255 b=5.3255 c=5.3255 alpha=90.00 beta=90.00 gamma=90.00
With the nearest neighbours (Å) after each atom.
Sites, in units of the cell vectors:
Mn: 0.0000 0.0000 0.0000  6 Cd 2.66
Cd: 0.0000 0.0000 0.5000  2 Mn 2.66
Cd: 0.0000 0.5000 0.0000  2 Mn 2.66
Cd: 0.5000 0.0000 0.0000  2 Mn 2.66
O: 0.5000 0.5000 0.5000  12 Cd 3.77

Arrangement Q

A geometry-optimized MnCd3O structure, computed with PBE with a Hubbard U.

Results
* total magnetic moment: 4.4 Bohr magnetons per cell
* crystal system: cubic

Unit cell a=4.6829 b=4.6829 c=4.6829 alpha=90.00 beta=90.00 gamma=90.00
With the nearest neighbours (Å) after each atom.
Sites, in units of the cell vectors:
Mn: 0.0000 0.0000 0.0000  12 Cd 3.31
Cd: 0.0000 0.5000 0.5000  2 O 2.34
Cd: 0.5000 0.0000 0.5000  2 O 2.34
Cd: 0.5000 0.5000 0.0000  2 O 2.34
O: 0.5000 0.5000 0.5000  6 Cd 2.34

Most stable to least stable, the ends of the list are arrangement Q and arrangement P.

Arrangement P

A geometry-optimized MnCdP2O structure, computed with PBE with a Hubbard U.

Results
* total magnetic moment: 2.9 Bohr magnetons per cell
* crystal system: tetragonal

Unit cell a=5.0431 b=5.0431 c=4.0927 alpha=90.00 beta=90.00 gamma=90.00
With the nearest neighbours (Å) after each atom.
Sites, in units of the cell vectors:
Mn: 0.0000 0.0000 0.0000  8 P 3.25, 4 O 3.57
Cd: 0.5000 0.5000 0.5000  2 O 2.05
P: 0.0000 0.5000 0.5000  2 Cd 2.52
P: 0.5000 0.0000 0.5000  2 Cd 2.52
O: 0.5000 0.5000 0.0000  2 Cd 2.05

Arrangement Q

A geometry-optimized MnCdP2O structure, computed with PBE with a Hubbard U.

Results
* total magnetic moment: 0.0 Bohr magnetons per cell
* crystal system: tetragonal

Unit cell a=4.7754 b=4.7754 c=3.4349 alpha=90.00 beta=90.00 gamma=90.00
With the nearest neighbours (Å) after each atom.
Sites, in units of the cell vectors:
Mn: 0.0000 0.0000 0.0000  2 O 1.72
Cd: 0.5000 0.5000 0.5000  8 P 2.94
P: 0.0000 0.5000 0.0000  2 Mn 2.39
P: 0.5000 0.0000 0.0000  2 Mn 2.39
O: 0.0000 0.0000 0.5000  2 Mn 1.72

Most stable to least stable, the ends of the list are arrangement Q and arrangement P.

Arrangement P

A geometry-optimized Mn2CdTeO6 structure, computed with PBE with a Hubbard U.

Results
* total magnetic moment: 8.0 Bohr magnetons per cell
* crystal system: trigonal

Unit cell a=5.7215 b=5.7215 c=5.7215 alpha=57.44 beta=57.44 gamma=57.44
With the nearest neighbours (Å) after each atom.
Sites, in units of the cell vectors:
Mn: 0.0000 0.0000 0.0000  6 O 1.96-2.07
Mn: 0.4803 0.4803 0.4803  6 O 2.04-2.26
Cd: 0.2147 0.2147 0.2147  6 O 2.31-2.50
Te: 0.6916 0.6916 0.6916  6 O 2.08-2.29
O: 0.1271 0.3432 0.7688  2 Mn 1.96-2.04
O: 0.2885 0.8474 0.6493  2 Mn 2.07-2.26, 1 Te 2.08, 1 Cd 2.31
O: 0.3432 0.7688 0.1271  2 Mn 1.96-2.04
O: 0.6493 0.2885 0.8474  2 Mn 2.07-2.26, 1 Te 2.08, 1 Cd 2.31
O: 0.7688 0.1271 0.3432  2 Mn 1.96-2.04
O: 0.8474 0.6493 0.2885  2 Mn 2.07-2.26, 1 Te 2.08, 1 Cd 2.31

Arrangement Q

A geometry-optimized Mn2CdTeO6 structure, computed with PBE with a Hubbard U.

Results
* total magnetic moment: 20.0 Bohr magnetons per cell
* crystal system: triclinic

Unit cell a=6.3826 b=6.4254 c=6.4292 alpha=90.43 beta=90.05 gamma=90.88
With the nearest neighbours (Å) after each atom.
Sites, in units of the cell vectors:
Mn: 0.0000 0.0000 0.0000  5 O 2.13-2.28
Mn: 0.1851 0.5169 0.3048  5 O 2.15-2.28
Mn: 0.4959 0.1226 0.1055  6 O 2.17-2.37
Mn: 0.6961 0.8149 0.4901  6 O 2.15-2.41
Cd: 0.3089 0.6064 0.8032  5 O 2.23-2.36
Cd: 0.7970 0.3083 0.6187  6 O 2.24-2.45
Te: 0.2469 0.0565 0.5471  6 O 1.96-1.97
Te: 0.7476 0.5655 0.0599  6 O 1.96-1.97
O: 0.0418 0.6521 0.0208  1 Te 1.97
O: 0.1785 0.3495 0.5971  1 Te 1.96, 1 Mn 2.17
O: 0.1830 0.1142 0.2549  1 Te 1.96, 1 Mn 2.13
O: 0.3124 0.0108 0.8419  1 Te 1.97, 1 Mn 2.17
O: 0.3212 0.7662 0.4858  1 Te 1.97, 1 Mn 2.15
O: 0.4572 0.4731 0.1104  1 Te 1.97, 1 Mn 2.16
O: 0.5397 0.1174 0.4710  1 Te 1.97
O: 0.6733 0.6140 0.7682  1 Te 1.96
O: 0.7002 0.8578 0.1341  1 Te 1.96, 1 Mn 2.17
O: 0.7969 0.2719 0.9869  1 Te 1.97, 1 Mn 2.19
O: 0.8322 0.5334 0.3505  1 Te 1.96
O: 0.9571 0.9834 0.6255  1 Te 1.97, 1 Mn 2.15

Most stable to least stable, the ends of the list are arrangement Q and arrangement P.